Entry 1:
Below is a relaxed CaScFe crystal, with properties calculated at the PBE-GGA level.

abc: 4.8221 4.8221 3.3497
angles: 90.00 90.00 120.00
Site moments in Bohr magnetons follow the coordinates.
Fractional positions:
Ca: 0.0000 0.0000 0.0002  -0.11
Sc: 0.3333 0.6667 0.5000  -0.56
Fe: 0.6667 0.3333 0.4998  2.34

Calculated values
Size of the total moment (μB/f.u.): 1.13
Energy above the most stable polymorph in this dataset (eV per atom): 0.246


Entry 2:
Below is a relaxed Pu2AlCu crystal, with properties calculated at the PBE-GGA level.

abc: 2.6461 2.6461 11.2786
angles: 83.26 83.26 60.00
Site moments in Bohr magnetons follow the coordinates.
Fractional positions:
Pu: 0.0866 0.0866 0.7403  1.82
Pu: 0.9134 0.9134 0.2597  1.82
Cu: 0.0000 0.0000 0.0000  0.01
Al: 0.5000 0.5000 0.5000  -0.02

Calculated values
Uncorrected energy (eV per atom): -8.766
Size of the total moment (μB/f.u.): 3.40


Entry 3:
Below is a relaxed Cd2CuPb crystal, with properties calculated at the PBE-GGA level.

abc: 4.3777 4.2854 4.7497
angles: 90.00 90.00 90.00
Fractional positions:
Cd: 0.0000 0.0000 0.0000
Cd: 0.5000 0.5000 0.0000
Cu: 0.5000 0.0000 0.5000
Pb: 0.0000 0.5000 0.5000

Calculated values
Uncorrected energy (eV per atom): -2.205
Size of the total moment (μB/f.u.): 0.00


Entry 4:
Below is a relaxed Be2TlHO crystal, with properties calculated at the PBE-GGA level.

abc: 3.3766 5.3248 3.3766
angles: 90.00 90.00 90.00
Fractional positions:
Tl: 0.5000 0.5000 0.5000
Be: 0.0000 0.0000 0.5000
Be: 0.5000 0.0000 0.0000
H: 0.0000 0.0000 0.0000
O: 0.0000 0.5000 0.0000

Calculated values
Size of the total moment (μB/f.u.): 0.00
Energy above the most stable polymorph in this dataset (eV per atom): 0.775